This record from Alexandria describes crystalline ZrSc3Ru4 at its relaxed geometry. The functional is PBE.

Summary:
ΔE_f = -0.60 eV per atom
Total magnetization = 0.000 μB/atom

Lattice parameters (Å, degrees): 4.5696 4.5696 7.8870 73.16 73.16 60.00
Sites, in units of the cell vectors:
Ru 0.1242 0.1242 0.6275
Ru 0.6259 0.6259 0.1224
Ru 0.8758 0.8758 0.3725
Ru 0.3741 0.3741 0.8776
Sc 0.7518 0.7518 0.7445
Sc 0.2482 0.2482 0.2555
Sc 0.5000 0.5000 0.5000
Zr 0.0000 0.0000 0.0000

***

This record from Alexandria describes crystalline ZrScRu at its relaxed geometry. The functional is PBE.

Summary:
Relative energy among the computed polymorphs = 14.0 kJ/mol of formula units
ΔE_f = -0.39 eV per atom
Total magnetization = 0.369 μB/atom

Lattice parameters (Å, degrees): 5.8921 5.8918 3.2823 73.83 73.82 32.35
Site moments in Bohr magnetons follow the coordinates.
Sites, in units of the cell vectors:
Ru 0.0020 0.0020 0.9980  0.07
Zr 0.6442 0.6442 0.3558  0.37
Sc 0.3538 0.3538 0.6462  0.26

***

This record from Alexandria describes crystalline ZrScRu at its relaxed geometry. The functional is PBE.

Summary:
Relative energy among the computed polymorphs = 38.1 kJ/mol of formula units
ΔE_f = -0.31 eV per atom
Total magnetization = 0.000 μB/atom

Lattice parameters (Å, degrees): 4.5408 4.5478 7.2780 108.53 89.99 119.46
Sites, in units of the cell vectors:
Sc 0.1296 0.7554 0.8861
Sc 0.8704 0.2446 0.1139
Zr 0.7094 0.9179 0.6279
Zr 0.2906 0.0821 0.3721
Ru 0.5709 0.6463 0.2157
Ru 0.4291 0.3537 0.7843

***

This record from Alexandria describes crystalline Zr3ScRu at its relaxed geometry. The functional is PBE.

Summary:
Relative energy among the computed polymorphs = 119.3 kJ/mol of formula units
ΔE_f = 0.23 eV per atom
Total magnetization = 0.000 μB/atom

Lattice parameters (Å, degrees): 5.0338 5.0338 5.0338 90.00 90.00 90.00
Sites, in units of the cell vectors:
Sc 0.5000 0.5000 0.5000
Ru 0.0000 0.0000 0.0000
Zr 0.5000 0.0000 0.0000
Zr 0.0000 0.5000 0.0000
Zr 0.0000 0.0000 0.5000

***

This record from Alexandria describes crystalline ZrScRu3 at its relaxed geometry. The functional is PBE.

Summary:
Relative energy among the computed polymorphs = 0.0 kJ/mol of formula units
ΔE_f = 0.88 eV per atom
Total magnetization = 0.000 μB/atom

Lattice parameters (Å, degrees): 4.5692 4.5692 4.5692 90.00 90.00 90.00
Sites, in units of the cell vectors:
Sc 0.0000 0.0000 0.0000
Zr 0.5000 0.5000 0.5000
Ru 0.5000 0.0000 0.0000
Ru 0.0000 0.5000 0.0000
Ru 0.0000 0.0000 0.5000

***

This record from Alexandria describes crystalline ZrSc5Ru6 at its relaxed geometry. The functional is PBE.

Summary:
ΔE_f = -0.58 eV per atom
Total magnetization = 0.000 μB/atom

Lattice parameters (Å, degrees): 4.5645 6.4552 7.8681 114.22 106.78 90.00
Sites, in units of the cell vectors:
Sc 0.6663 0.6662 0.3324
Sc 0.3310 0.8308 0.6617
Sc 0.3337 0.3338 0.6676
Sc 0.0000 0.5000 0.0000
Sc 0.6690 0.1692 0.3383
Ru 0.5000 0.2479 0.0000
Ru 0.1659 0.9173 0.3318
Ru 0.8341 0.0827 0.6683
Ru 0.5000 0.7521 0.0000
Ru 0.8341 0.5855 0.6682
Ru 0.1659 0.4145 0.3318
Zr 0.0000 0.0000 0.0000

***

This record from Alexandria describes crystalline ZrSc4Ru5 at its relaxed geometry. The functional is PBE.

Summary:
ΔE_f = -0.58 eV per atom
Total magnetization = 0.000 μB/atom

Lattice parameters (Å, degrees): 3.2286 3.2286 16.0804 90.00 90.00 90.00
Sites, in units of the cell vectors:
Zr 0.0000 0.0000 0.0000
Ru 0.5000 0.5000 0.6993
Ru 0.5000 0.5000 0.3007
Ru 0.5000 0.5000 0.9004
Ru 0.5000 0.5000 0.5000
Ru 0.5000 0.5000 0.0996
Sc 0.0000 0.0000 0.5992
Sc 0.0000 0.0000 0.2035
Sc 0.0000 0.0000 0.7965
Sc 0.0000 0.0000 0.4008

***

This record from Alexandria describes crystalline Zr2ScRu at its relaxed geometry. The functional is PBE.

Summary:
Relative energy among the computed polymorphs = 63.5 kJ/mol of formula units
ΔE_f = -0.17 eV per atom
Total magnetization = 0.000 μB/atom

Lattice parameters (Å, degrees): 4.4840 3.2046 5.8480 74.43 90.00 90.00
Sites, in units of the cell vectors:
Zr 0.0000 0.4343 0.4771
Zr 0.0000 0.0657 0.0229
Ru 0.5000 0.2500 0.2500
Sc 0.5000 0.7500 0.7500